Arrangement A

First-principles (PBE-GGA) data for HgIrNO after structural relaxation, as listed in OQMD via LeMat-Bulk.

POSCAR file:
```
HgIrNO
1.0
-1.5361 -2.6606 0.0000
0.0000 0.0000 6.8003
-4.8048 2.7740 0.0000
Hg Ir N O
2 2 2 2
Direct
0.0000 0.5898 0.4004
0.0000 0.0898 0.5996
0.5000 0.9881 0.0275
0.5000 0.4881 0.9725
0.0000 0.9235 0.2205
0.0000 0.4235 0.7795
0.5000 0.2526 0.1651
0.5000 0.7526 0.8349
```



Arrangement B

First-principles (PBE-GGA) data for HgIrNO after structural relaxation, as listed in OQMD via LeMat-Bulk.

POSCAR file:
```
HgIrNO
1.0
-2.9707 2.0730 -1.4774
-2.4716 -2.8922 0.9117
-1.1281 3.0108 6.4929
Hg Ir N O
2 2 2 2
Direct
0.2500 0.2500 0.1549
0.7500 0.7500 0.8451
0.7500 0.2500 0.5000
0.2500 0.7500 0.5000
0.7500 0.7500 0.3860
0.2500 0.2500 0.6140
0.7500 0.2500 0.0000
0.2500 0.7500 0.0000
```



Arrangement C

First-principles (PBE-GGA) data for HgIrNO after structural relaxation, as listed in OQMD via LeMat-Bulk.

POSCAR file:
```
HgIrNO
1.0
2.9626 -2.9631 0.0000
2.9626 2.9631 0.0000
0.0000 0.0000 7.5072
Hg Ir N O
2 2 2 2
Direct
0.2500 0.2500 0.5000
0.7500 0.7500 0.5000
0.7500 0.2500 0.0713
0.2500 0.7500 0.9287
0.7500 0.2500 0.3125
0.2500 0.7500 0.6875
0.2500 0.2500 0.0000
0.7500 0.7500 0.0000
```



Which of them is most stable? Easy: arrangement A.



Arrangement A

First-principles (PBE-GGA) data for NaHgIr after structural relaxation, as listed in OQMD via LeMat-Bulk.

POSCAR file:
```
NaHgIr
1.0
0.0000 3.1490 3.1490
3.1490 0.0000 3.1490
3.1490 3.1490 0.0000
Hg Ir Na
1 1 1
Direct
0.2500 0.2500 0.2500
0.7500 0.7500 0.7500
0.0000 0.0000 0.0000
```



Arrangement B

First-principles (PBE-GGA) data for NaHgIr after structural relaxation, as listed in OQMD via LeMat-Bulk.

POSCAR file:
```
NaHgIr
1.0
-1.0830 -3.7863 2.3305
-4.2279 -0.5287 1.6690
-2.8184 -3.0960 -1.8471
Hg Ir Na
1 1 1
Direct
0.2500 0.2500 0.2500
0.0000 0.0000 0.0000
0.7500 0.7500 0.7500
```



Which of them is most stable? Easy: arrangement B.



Arrangement A

First-principles (PBE-GGA) data for NaHgTeIr after structural relaxation, as listed in OQMD via LeMat-Bulk.

POSCAR file:
```
NaHgTeIr
1.0
0.0000 3.4605 3.4605
3.4605 0.0000 3.4605
3.4605 3.4605 0.0000
Hg Ir Na Te
1 1 1 1
Direct
0.5000 0.5000 0.5000
0.0000 0.0000 0.0000
0.7500 0.7500 0.7500
0.2500 0.2500 0.2500
```



Arrangement B

First-principles (PBE-GGA) data for NaHgTeIr after structural relaxation, as listed in OQMD via LeMat-Bulk.

POSCAR file:
```
NaHgTeIr
1.0
0.0000 3.4864 3.4864
3.4864 0.0000 3.4864
3.4864 3.4864 0.0000
Hg Ir Na Te
1 1 1 1
Direct
0.2500 0.2500 0.2500
0.0000 0.0000 0.0000
0.7500 0.7500 0.7500
0.5000 0.5000 0.5000
```



Which of them is most stable? Easy: arrangement A.



Arrangement A

First-principles (PBE-GGA) data for Hg2Ir2O5 after structural relaxation, as listed in OQMD via LeMat-Bulk.

POSCAR file:
```
Hg2Ir2O5
1.0
8.0974 0.0000 0.0000
0.0000 3.8849 0.0000
0.0000 0.0000 3.8849
Hg Ir O
2 2 5
Direct
0.0000 0.0000 0.0000
0.5000 0.0000 0.0000
0.2381 0.5000 0.5000
0.7619 0.5000 0.5000
0.2054 0.5000 0.0000
0.7946 0.5000 0.0000
0.2054 0.0000 0.5000
0.7946 0.0000 0.5000
0.5000 0.5000 0.5000
```



Arrangement B

First-principles (PBE-GGA) data for Hg2Ir2O5 after structural relaxation, as listed in OQMD via LeMat-Bulk.

POSCAR file:
```
Hg2Ir2O5
1.0
10.1297 0.0000 0.0000
0.0000 3.3844 0.0000
0.0000 0.0000 3.3844
Hg Ir O
2 2 5
Direct
0.2773 0.5000 0.5000
0.7227 0.5000 0.5000
0.0000 0.0000 0.0000
0.5000 0.0000 0.0000
0.1139 0.5000 0.0000
0.8861 0.5000 0.0000
0.1139 0.0000 0.5000
0.8861 0.0000 0.5000
0.5000 0.5000 0.5000
```



Which of them is most stable? Easy: arrangement A.



Arrangement A

First-principles (PBE-GGA) data for HgPIrO after structural relaxation, as listed in OQMD via LeMat-Bulk.

POSCAR file:
```
HgPIrO
1.0
-0.5114 0.0113 3.3923
-4.0281 -4.4757 -0.5924
5.2752 -4.8550 0.8115
Hg Ir O P
2 2 2 2
Direct
0.0000 0.3449 0.0657
0.0000 0.6551 0.5657
0.5000 0.0440 0.4996
0.5000 0.9560 0.9996
0.5000 0.8846 0.2649
0.5000 0.1155 0.7649
0.0000 0.2664 0.4239
0.0000 0.7336 0.9239
```



Arrangement B

First-principles (PBE-GGA) data for HgPIrO after structural relaxation, as listed in OQMD via LeMat-Bulk.

POSCAR file:
```
HgPIrO
1.0
-2.8400 0.6037 2.6127
-1.0938 -6.3423 0.2766
3.9192 -0.4852 4.3722
Hg Ir O P
2 2 2 2
Direct
0.0000 0.3529 0.0042
0.0000 0.6471 0.5042
0.5000 0.1945 0.4742
0.5000 0.8055 0.9742
0.0000 0.2699 0.4313
0.0000 0.7301 0.9313
0.5000 0.8723 0.3443
0.5000 0.1277 0.8443
```



Which of them is most stable? Easy: arrangement A.



Arrangement A

First-principles (PBE-GGA) data for HgPIrO after structural relaxation, as listed in OQMD via LeMat-Bulk.

POSCAR file:
```
HgPIrO
1.0
-2.5235 -0.7604 -3.2995
-2.7320 -1.9737 2.5443
-4.1180 7.5246 1.4154
Hg Ir O P
2 2 2 2
Direct
0.0000 0.0000 0.5000
0.5000 0.5000 0.5000
0.5000 0.0000 0.0600
0.0000 0.5000 0.9400
0.0000 0.0000 0.0000
0.5000 0.5000 0.0000
0.5000 0.0000 0.3085
0.0000 0.5000 0.6915
```



Arrangement B

First-principles (PBE-GGA) data for HgPIrO after structural relaxation, as listed in OQMD via LeMat-Bulk.

POSCAR file:
```
HgPIrO
1.0
-0.0608 2.8173 -2.9237
-1.7933 -2.6420 -2.5085
-7.1454 2.4592 2.5182
Hg Ir O P
2 2 2 2
Direct
0.0000 0.0000 0.1248
0.5000 0.5000 0.8752
0.5000 0.0000 0.5000
0.0000 0.5000 0.5000
0.5000 0.0000 0.0000
0.0000 0.5000 0.0000
0.5000 0.5000 0.3426
0.0000 0.0000 0.6574
```



Which of them is most stable? Easy: arrangement B.